First-principles (PBE) data for a geometry-optimized ZrSCl2O structure, as listed in Alexandria via LeMat-Bulk.

Results
space-group type = P4/mmm, No. 123
energy above the lowest structure with this stoichiometry = 0.749 eV/atom
raw formation energy = 17 kJ per mole of atoms
DOS at the Fermi energy = 3.30 states/eV/cell
M_tot = 0.00 μB per formula unit
mass density = 4145 kg/m3

Cell: 4.278 4.278 4.602 Å, 90.00 90.00 90.00°
Positions (direct):
Zr 0.000 0.000 0.000
S 0.500 0.500 0.000
Cl 0.000 0.500 0.500
Cl 0.500 0.000 0.500
O 0.500 0.500 0.500